An optimized crystal structure of TlCdSiAs2, computed with PBE-GGA.

abc: 4.8702 4.8702 5.4974
angles: 90.00 90.00 90.00
Closest atoms and distances in Å follow each position.
Sites, in units of the cell vectors:
Tl 0.0000 0.0000 0.0000  2 Si 2.75
Cd 0.5000 0.5000 0.0000  4 Tl 3.44, 8 As 3.67
Si 0.0000 0.0000 0.5000  4 As 2.44
As 0.0000 0.5000 0.5000  2 Si 2.44
As 0.5000 0.0000 0.5000  2 Si 2.44

Output
Formation energy (no corrections), eV/f.u.: 2.43
V, A^3/atom: 26.08
Space group: P4/mmm (123)